Entry 1:
Crystalline Pu2SiGePt6 at its relaxed geometry. Source: the Alexandria database, functional PBE-GGA.

Unit cell a=5.5570 b=8.5527 c=8.3045 alpha=90.00 beta=90.00 gamma=90.00
Closest atoms and distances in Å follow each position.
Atoms (fractional coordinates):
Pu  0.2500  0.0015  0.2296  11 Pt 3.06-3.41
Pu  0.2500  0.4985  0.2296  11 Pt 3.06-3.41
Pu  0.7500  0.5015  0.7704  11 Pt 3.06-3.41
Pu  0.7500  0.9985  0.7704  11 Pt 3.06-3.41
Si  0.2500  0.2500  0.7527  6 Pt 2.37-2.50
Si  0.7500  0.7500  0.2473  6 Pt 2.37-2.50
Ge  0.2500  0.7500  0.7687  6 Pt 2.48-2.65
Ge  0.7500  0.2500  0.2314  6 Pt 2.48-2.65
Pt  0.0007  0.2500  0.9848  1 Si 2.37, 1 Ge 2.48
Pt  0.0008  0.7500  0.4967  1 Si 2.50, 1 Ge 2.65, 6 Pt 2.72-2.79
Pt  0.2500  0.9999  0.6169  1 Si 2.42, 1 Ge 2.48
Pt  0.2500  0.5001  0.6169  1 Si 2.42, 1 Ge 2.48
Pt  0.4993  0.2500  0.9848  1 Si 2.37, 1 Ge 2.48
Pt  0.4992  0.7500  0.4967  1 Si 2.50, 1 Ge 2.65, 6 Pt 2.72-2.79
Pt  0.5008  0.2500  0.5033  1 Si 2.50, 1 Ge 2.65, 6 Pt 2.72-2.79
Pt  0.5007  0.7500  0.0152  1 Si 2.37, 1 Ge 2.48
Pt  0.7500  0.0001  0.3831  1 Si 2.42, 1 Ge 2.48
Pt  0.7500  0.4999  0.3831  1 Si 2.42, 1 Ge 2.48
Pt  0.9992  0.2500  0.5033  1 Si 2.50, 1 Ge 2.65, 6 Pt 2.72-2.79
Pt  0.9993  0.7500  0.0152  1 Si 2.37, 1 Ge 2.48

Computed properties:
The magnetic moment comes out at 10.644 μB/f.u. For the uncorrected energy, the calculation gives -164.02 eV/cell. The raw formation energy is -0.706 eV/atom. The density comes out at 14.80 g/cm3.

***

Entry 2:
Crystalline CrAs2 at its relaxed geometry. Source: the Alexandria database, functional PBE-GGA.

Unit cell a=4.2465 b=4.2465 c=4.2465 alpha=60.00 beta=60.00 gamma=60.00
Closest atoms and distances in Å follow each position.
Atoms (fractional coordinates):
Cr  0.0000  0.0000  0.0000  8 As 2.60
As  0.2500  0.2500  0.2500  4 Cr 2.60
As  0.7500  0.7500  0.7500  4 Cr 2.60

Computed properties:
The magnetic moment comes out at 2.420 μB/f.u. For the uncorrected energy, the calculation gives -18.71 eV/cell. The density comes out at 6.19 g/cm3.

***

Entry 3:
Crystalline Y2PPb at its relaxed geometry. Source: the Alexandria database, functional PBE-GGA.

Unit cell a=3.5381 b=3.5381 c=8.2975 alpha=90.00 beta=90.00 gamma=103.65
Closest atoms and distances in Å follow each position.
Atoms (fractional coordinates):
Y  0.0000  0.0000  0.2101  2 P 2.80
Y  0.0000  0.0000  0.7899  2 P 2.80
P  0.5000  0.5000  0.0000  4 Y 2.80
Pb  0.5000  0.5000  0.5000  4 Y 3.25, 4 Pb 3.54

Computed properties:
The magnetic moment comes out at 0.000 μB/f.u. For the uncorrected energy, the calculation gives -25.30 eV/cell. For the energy above the most stable polymorph in this dataset, the calculation gives 272 meV/atom. The density comes out at 6.84 g/cm3.